# 1
This record from the Alexandria database describes crystalline NpPaS4 at its relaxed geometry. The functional is PBE.

```
NpPaS4
1.0
4.5729 0.2263 -0.0725
-0.2277 4.5728 -0.0725
0.0927 0.1024 6.4875
Np Pa S
1 1 4
direct
0.5000 0.0000 0.0000
0.0000 0.5000 0.5000
0.5001 0.5004 0.2538
0.0004 0.0001 0.2538
0.9996 0.9999 0.7462
0.4999 0.4996 0.7462
```

Output
Formation energy without anion corrections (eV per atom): -1.516
E_tot (eV/atom): -8.01
Polymorph energy (0 for the lowest one) (meV per atom): 0

=====

# 2
This record from the Alexandria database describes crystalline NpPa2S4 at its relaxed geometry. The functional is PBE.

```
NpPa2S4
1.0
-6.7941 -1.7753 1.0491
3.0701 -4.8022 -4.2339
3.3990 0.1724 6.2313
Np Pa S
2 4 8
direct
0.7500 0.5000 0.2500
0.0000 0.0000 0.0000
0.3750 0.8757 0.7507
0.5007 0.3757 0.6250
0.8750 0.1243 0.4993
0.2493 0.6243 0.1250
0.7789 0.2504 0.8753
0.9711 0.5965 0.7216
0.6249 0.7496 0.5284
0.1251 0.4035 0.3747
0.4716 0.0965 0.2211
0.6253 0.7504 0.0289
0.2784 0.2496 0.8749
0.1247 0.9035 0.3751
```

Output
Formation energy without anion corrections (eV per atom): -1.559
E_tot (eV/atom): -8.48
Polymorph energy (0 for the lowest one) (meV per atom): 0

=====

# 3
This record from the Alexandria database describes crystalline NpPaS2 at its relaxed geometry. The functional is PBE.

```
NpPaS2
1.0
4.8435 0.0000 0.0000
2.4218 4.1946 0.0000
2.4218 1.3982 3.9547
Np S Pa
1 2 1
direct
0.0000 0.0000 0.0000
0.2500 0.2500 0.2500
0.7500 0.7500 0.7500
0.5000 0.5000 0.5000
```

Output
Formation energy without anion corrections (eV per atom): -1.114
E_tot (eV/atom): -8.79
Polymorph energy (0 for the lowest one) (meV per atom): 403

=====

# 4
This record from the Alexandria database describes crystalline Np3PaS4 at its relaxed geometry. The functional is PBE.

```
Np3PaS4
1.0
-2.3505 0.9243 -2.9662
-3.7483 -5.4455 1.2732
-4.8796 1.5827 4.3599
Np S Pa
3 4 1
direct
0.5000 0.0001 0.5000
0.0000 0.0001 0.0000
0.0000 0.5001 0.5000
0.0000 0.7548 0.7452
0.4999 0.7530 0.2530
0.0000 0.2454 0.2547
0.5000 0.2472 0.7470
0.5000 0.5001 0.0000
```

Output
Formation energy without anion corrections (eV per atom): -1.443
E_tot (eV/atom): -9.55
Polymorph energy (0 for the lowest one) (meV per atom): 0

=====

# 5
This record from the Alexandria database describes crystalline NpPa6S12 at its relaxed geometry. The functional is PBE.

```
NpPa6S12
1.0
7.9047 -0.0926 -0.1109
-1.2899 7.7993 -0.1109
-1.2899 -1.5028 7.6539
Np Pa S
1 6 12
direct
0.0000 0.0000 0.0000
0.6941 0.8652 0.3748
0.6252 0.3059 0.1348
0.1348 0.6252 0.3059
0.3059 0.1348 0.6252
0.3748 0.6941 0.8652
0.8652 0.3748 0.6941
0.8225 0.5729 0.4299
0.4299 0.8225 0.5729
0.5729 0.4299 0.8225
0.1775 0.4271 0.5701
0.5701 0.1775 0.4271
0.4271 0.5701 0.1775
0.0655 0.9501 0.3289
0.0499 0.6711 0.9345
0.6711 0.9345 0.0499
0.9345 0.0499 0.6711
0.9501 0.3289 0.0655
0.3289 0.0655 0.9501
```

Output
Formation energy without anion corrections (eV per atom): -1.527
E_tot (eV/atom): -7.81

=====

# 6
This record from the Alexandria database describes crystalline Np3PaS4 at its relaxed geometry. The functional is PBE.

```
Np3PaS4
1.0
-5.2928 -1.1490 -0.9645
0.9371 -5.2943 1.1644
-1.1714 0.9560 5.2894
Np Pa S
3 1 4
direct
0.0000 0.5000 0.5000
0.5000 0.0000 0.5000
0.5000 0.5000 0.0000
0.0000 0.0000 0.0000
0.5000 0.0000 0.0000
0.0000 0.5000 0.0000
0.0000 0.0000 0.5000
0.5000 0.5000 0.5000
```

Output
Formation energy without anion corrections (eV per atom): -1.425
E_tot (eV/atom): -9.53
Polymorph energy (0 for the lowest one) (meV per atom): 18

=====

Q: What is the formula in the sixth record?
A: Np3PaS4

=====

What did the second record say?
This record from the Alexandria database describes crystalline NpPa2S4 at its relaxed geometry. The functional is PBE.

```
NpPa2S4
1.0
-6.7941 -1.7753 1.0491
3.0701 -4.8022 -4.2339
3.3990 0.1724 6.2313
Np Pa S
2 4 8
direct
0.7500 0.5000 0.2500
0.0000 0.0000 0.0000
0.3750 0.8757 0.7507
0.5007 0.3757 0.6250
0.8750 0.1243 0.4993
0.2493 0.6243 0.1250
0.7789 0.2504 0.8753
0.9711 0.5965 0.7216
0.6249 0.7496 0.5284
0.1251 0.4035 0.3747
0.4716 0.0965 0.2211
0.6253 0.7504 0.0289
0.2784 0.2496 0.8749
0.1247 0.9035 0.3751
```

Output
Formation energy without anion corrections (eV per atom): -1.559
E_tot (eV/atom): -8.48
Polymorph energy (0 for the lowest one) (meV per atom): 0

=====

Q: Which of these has the highest E_tot?
A: NpPa6S12